# CoP2O6, optimized geometry, DFT PBEsol
data_CoP2O6
_space_group_name_H-M_alt 'C 1 2/c 1'
_space_group_IT_number 15
_cell_length_a 11.7153
_cell_length_b 8.2296
_cell_length_c 9.9071
_cell_angle_alpha 90.00
_cell_angle_beta 118.73
_cell_angle_gamma 90.00
loop_
_space_group_symop_operation_xyz
'x,y,z'
'-x,-y,-z'
'-x,y,-z+1/2'
'x,-y,z+1/2'
'x+1/2,y+1/2,z'
'-x+1/2,-y+1/2,-z'
'-x+1/2,y+1/2,-z+1/2'
'x+1/2,-y+1/2,z+1/2'
loop_
_atom_site_label
_atom_site_type_symbol
_atom_site_fract_x
_atom_site_fract_y
_atom_site_fract_z
_atom_site_occupancy
Co1 Co 0.0000 0.0581 0.2500 1
Co2 Co 0.2500 0.2500 0.5000 1
P1 P 0.0097 0.2598 0.9772 1
P2 P 0.1976 0.4911 0.1982 1
O1 O 0.0318 0.1159 0.9042 1
O2 O 0.0488 0.2413 0.4155 1
O3 O 0.0755 0.3914 0.6525 1
O4 O 0.1459 0.3533 0.0673 1
O5 O 0.1994 0.0833 0.3216 1
O6 O 0.2339 0.4227 0.3518 1
# Total magnetization in μB per atom: 0.333
# Formation energy from raw total energies in kJ/mol of atoms: -175



# Tm2GaNi2, optimized geometry, DFT PBEsol
data_Tm2GaNi2
_space_group_name_H-M_alt 'I m m m'
_space_group_IT_number 71
_space_group_name_Hall '-I 2 2'
_cell_length_a 4.1127
_cell_length_b 5.2161
_cell_length_c 7.9625
_cell_angle_alpha 90.00
_cell_angle_beta 90.00
_cell_angle_gamma 90.00
loop_
_atom_site_label
_atom_site_type_symbol
_atom_site_fract_x
_atom_site_fract_y
_atom_site_fract_z
_atom_site_occupancy
Tm1 Tm 0.0000 0.0000 0.2018 1
Ga1 Ga 0.0000 0.5000 0.0000 1
Ni1 Ni 0.0000 0.2676 0.5000 1
# Total magnetization in μB per atom: 0.000
# Formation energy from the elements in kJ per mole of atoms: -60.8



# MgInNi6, optimized geometry, DFT PBEsol
data_MgInNi6
_space_group_name_H-M_alt 'C m m m'
_space_group_IT_number 65
_space_group_name_Hall '-C 2 2'
_cell_length_a 7.2579
_cell_length_b 10.2756
_cell_length_c 10.2768
_cell_angle_alpha 90.00
_cell_angle_beta 90.00
_cell_angle_gamma 90.00
loop_
_atom_site_label
_atom_site_type_symbol
_atom_site_fract_x
_atom_site_fract_y
_atom_site_fract_z
_atom_site_occupancy
Mg1 Mg 0.0000 0.0000 0.2480 1
Mg2 Mg 0.0000 0.2508 0.0000 1
In1 In 0.0000 0.2499 0.5000 1
In2 In 0.0000 0.5000 0.2476 1
Ni1 Ni 0.0000 0.0000 0.0000 1
Ni2 Ni 0.0000 0.0000 0.5000 1
Ni3 Ni 0.0000 0.2482 0.2464 1
Ni4 Ni 0.0000 0.5000 0.0000 1
Ni5 Ni 0.0000 0.5000 0.5000 1
Ni6 Ni 0.2472 0.1260 0.1226 1
Ni7 Ni 0.2478 0.1243 0.3725 1
# Total magnetization in μB per atom: 0.248
# Formation energy from the elements in kJ per mole of atoms: -5.0



# CaLa2CrO6, optimized geometry, DFT PBEsol
data_CaLa2CrO6
_space_group_name_H-M_alt 'R -3'
_space_group_IT_number 148
_space_group_name_Hall '-R 3'
_cell_length_a 5.7777
_cell_length_b 5.7777
_cell_length_c 13.3728
_cell_angle_alpha 90.00
_cell_angle_beta 90.00
_cell_angle_gamma 120.00
loop_
_atom_site_label
_atom_site_type_symbol
_atom_site_fract_x
_atom_site_fract_y
_atom_site_fract_z
_atom_site_occupancy
Ca1 Ca 0.0000 0.0000 0.0000 1
La1 La 0.0000 0.0000 0.2597 1
Cr1 Cr 0.0000 0.0000 0.5000 1
O1 O 0.0396 0.6125 0.2488 1
# Total magnetization in μB per atom: 0.200
# Formation energy from raw total energies in kJ/mol of atoms: -282



Among the records above, which one has the lowest total magnetization?
Tm2GaNi2